Material: MgTc2H2
Method: DFT, GGA-PBEsol
State: relaxed

## Properties
Its calculated total energy is -6.07 eV per atom. As for the volume: 50.9 Å³/cell.

Unit cell a=3.1848 b=3.1848 c=5.5025 alpha=106.82 beta=106.82 gamma=90.00
Element x y z (fractional)
H 0.2500 0.7500 0.5000
H 0.7500 0.2500 0.5000
Mg 0.0000 0.0000 0.0000
Tc 0.3337 0.3337 0.6673
Tc 0.6663 0.6663 0.3327